AlCd3 | GGA-PBE | optimized geometry

The value obtained for the total moment is 0.0 Bohr magnetons per cell.

The structure in POSCAR format:
```
AlCd3
1.0
3.1006 0.0000 0.0000
0.0000 3.1006 0.0000
0.0000 0.0000 8.8691
Al Cd
1 3
direct
0.0000 0.0000 0.0000
0.0000 0.0000 0.5000
0.5000 0.5000 0.2369
0.5000 0.5000 0.7631
```


CoReNi2 | GGA-PBE | optimized geometry

The excess energy over the best structure of this formula in the dataset comes out at 0.219 eV per atom. The value obtained for the total moment is 0.1 Bohr magnetons per cell.

The structure in POSCAR format:
```
CoReNi2
1.0
5.7356 0.0000 0.0000
0.0000 5.7356 0.0000
0.0000 0.0000 5.7356
Co Re Ni
4 4 8
direct
0.0000 0.0000 0.0000
0.0000 0.5000 0.5000
0.5000 0.0000 0.5000
0.5000 0.5000 0.0000
0.0000 0.0000 0.5000
0.0000 0.5000 0.0000
0.5000 0.0000 0.0000
0.5000 0.5000 0.5000
0.2500 0.2500 0.2500
0.2500 0.2500 0.7500
0.2500 0.7500 0.2500
0.2500 0.7500 0.7500
0.7500 0.2500 0.2500
0.7500 0.2500 0.7500
0.7500 0.7500 0.2500
0.7500 0.7500 0.7500
```


TbPr5Nd8 | GGA-PBE | optimized geometry

The value obtained for the total moment is 0.0 Bohr magnetons per cell.

The structure in POSCAR format:
```
TbPr5Nd8
1.0
-4.9356 4.9356 5.1770
4.9356 -4.9356 5.1770
4.9356 4.9356 -5.1770
Tb Pr Nd
1 5 8
direct
0.0000 0.0000 0.0000
0.0362 0.2198 0.6027
0.2500 0.7500 0.5000
0.5665 0.9638 0.1836
0.6170 0.4335 0.3973
0.7802 0.3830 0.8164
0.0865 0.6883 0.7662
0.2766 0.5193 0.1030
0.3117 0.0778 0.3981
0.4163 0.1736 0.8970
0.4807 0.5837 0.7573
0.6797 0.9135 0.6019
0.8264 0.7234 0.2427
0.9222 0.3203 0.2338
```


Cr2RePd | GGA-PBE | optimized geometry

The value obtained for the total moment is 0.0 Bohr magnetons per cell.

The structure in POSCAR format:
```
Cr2RePd
1.0
3.8408 0.0000 0.0000
0.0000 3.8408 0.0000
0.0000 0.0000 3.6254
Cr Re Pd
2 1 1
direct
0.0000 0.5000 0.0000
0.5000 0.0000 0.0000
0.0000 0.0000 0.5000
0.5000 0.5000 0.5000
```


NiWCl3 | GGA-PBE | optimized geometry

The excess energy over the best structure of this formula in the dataset comes out at 0.000 eV per atom. The value obtained for the total moment is 2.4 Bohr magnetons per cell.

The structure in POSCAR format:
```
NiWCl3
1.0
4.8485 0.0000 0.0000
0.0000 4.8485 0.0000
0.0000 0.0000 4.8485
Ni W Cl
1 1 3
direct
0.0000 0.0000 0.0000
0.5000 0.5000 0.5000
0.0000 0.5000 0.5000
0.5000 0.0000 0.5000
0.5000 0.5000 0.0000
```


Ba2MgZnN | GGA-PBE | optimized geometry

The value obtained for the total moment is 0.0 Bohr magnetons per cell.

The structure in POSCAR format:
```
Ba2MgZnN
1.0
5.8512 0.0000 0.0000
0.0000 5.8512 0.0000
0.0000 0.0000 4.1444
Ba Mg Zn N
2 1 1 1
direct
0.0000 0.5000 0.0000
0.5000 0.0000 0.0000
0.0000 0.0000 0.5000
0.5000 0.5000 0.5000
0.0000 0.0000 0.0000
```


ScCd2Si | GGA-PBE | optimized geometry

The value obtained for the total moment is 0.0 Bohr magnetons per cell.

The structure in POSCAR format:
```
ScCd2Si
1.0
4.1546 0.0000 0.0000
0.0000 3.1986 0.0000
0.0000 0.0000 12.3020
Sc Cd Si
2 4 2
direct
0.0000 0.0000 0.0000
0.0000 0.5000 0.5000
0.0000 0.0000 0.7272
0.0000 0.5000 0.2272
0.5000 0.0000 0.3464
0.5000 0.5000 0.8464
0.5000 0.0000 0.5715
0.5000 0.5000 0.0715
```


Li7Sb4Pb | GGA-PBE | optimized geometry

The value obtained for the total moment is 0.0 Bohr magnetons per cell.

The structure in POSCAR format:
```
Li7Sb4Pb
1.0
5.2809 0.0000 0.0000
1.4137 5.9954 0.0000
1.0385 -0.2219 8.2994
Li Sb Pb
7 4 1
direct
0.0000 0.0000 0.0000
0.1982 0.5408 0.1071
0.2324 0.1745 0.3437
0.3378 0.7161 0.4305
0.6622 0.2839 0.5695
0.7676 0.8255 0.6563
0.8018 0.4592 0.8929
0.1863 0.1291 0.6880
0.2877 0.6365 0.7699
0.7123 0.3635 0.2301
0.8137 0.8709 0.3120
0.5000 0.0000 0.0000
```


no.,raw total energy (eV per formula unit)
1,-6.16
2,-30.21
3,-63.46
4,-36.23
5,-20.96
6,-16.24
7,-14.37
8,-38.47